Material: RbCeCl4
Method: DFT, GGA-PBE
State: optimized geometry

Cell lengths 8.4732, 8.4732, 7.0876 Å; angles 107.95, 107.95, 109.88 degrees
Closest atoms and distances in Å follow each position.
Atoms (fractional coordinates):
Rb  0.1403  0.8597  0.7500  8 Cl 3.39-3.49
Rb  0.8597  0.1403  0.2500  8 Cl 3.39-3.49
Ce  0.4933  0.5067  0.2500  8 Cl 2.87-2.92
Ce  0.5067  0.4933  0.7500  8 Cl 2.87-2.92
Cl  0.1805  0.2956  0.8005  2 Ce 2.90, 1 Cl 3.23
Cl  0.2471  0.5557  0.4376  2 Ce 2.87-2.92
Cl  0.2956  0.1805  0.3005  2 Ce 2.90, 1 Cl 3.23
Cl  0.4443  0.7529  0.0624  2 Ce 2.87-2.92
Cl  0.5557  0.2471  0.9376  2 Ce 2.87-2.92
Cl  0.7044  0.8195  0.6995  2 Ce 2.90, 1 Cl 3.23
Cl  0.7529  0.4443  0.5624  2 Ce 2.87-2.92
Cl  0.8195  0.7044  0.1995  2 Ce 2.90, 1 Cl 3.23

* DFT total energy: -26.91 eV per formula unit
* formation energy from raw total energies: -2.1036 eV/atom
* space group: C2/c